## Ho4TlTe2 (PBE)

Data for Ho4TlTe2 after structural relaxation. Values from VASP.

## Properties
M_tot (Bohr magnetons per cell): 0.00
Uncorrected formation energy (eV per atom): -0.74
Space group: Fddd (70)

Structure (Quantum ESPRESSO input):
```
&SYSTEM
  ibrav = 0, nat = 14, ntyp = 3
/
ATOMIC_SPECIES
Ho 164.93 Ho.upf
Tl 204.38 Tl.upf
Te 127.60 Te.upf
ATOMIC_POSITIONS angstrom
Ho 2.981 2.977 2.977
Ho 6.378 6.356 6.360
Ho 4.038 7.161 2.977
Ho 4.038 2.977 7.175
Ho 5.321 10.541 6.360
Ho 5.321 6.356 10.559
Ho 2.981 7.161 7.175
Ho 6.378 10.541 10.559
Tl 3.510 5.069 5.076
Tl 5.850 8.448 8.460
Te 0.000 0.000 0.000
Te 2.340 3.379 0.000
Te 2.340 0.000 3.384
Te 0.000 3.379 3.384
CELL_PARAMETERS angstrom
0.000 6.759 6.768
4.680 0.000 6.768
4.680 6.759 0.000
```